HgPbW: optimized geometry, PBE.

a = 3.555 Å, b = 4.709 Å, c = 17.402 Å
α = 90.00°, β = 90.00°, γ = 90.00°
Space group Fmm2 (No. 42)
Inequivalent atoms, fractional coordinates:
Hg1 0.000 0.000 0.000 (multiplicity 4)
Pb1 0.000 0.000 0.273 (multiplicity 4)
W1 0.000 0.000 0.634 (multiplicity 4)

***

HgPbW2: optimized geometry, PBE.

a = 7.728 Å, b = 7.728 Å, c = 5.664 Å
α = 90.00°, β = 90.00°, γ = 90.00°
Space group I-42d (No. 122)
Inequivalent atoms, fractional coordinates:
Hg1 0.000 0.000 0.000 (multiplicity 4)
Pb1 0.000 0.000 0.500 (multiplicity 4)
W1 0.246 0.250 0.125 (multiplicity 8)

***

HgPbW2: optimized geometry, PBE.

a = 6.804 Å, b = 6.804 Å, c = 6.804 Å
α = 90.00°, β = 90.00°, γ = 90.00°
Space group F-43m (No. 216)
Inequivalent atoms, fractional coordinates:
Hg1 0.000 0.000 0.000 (multiplicity 4)
Pb1 0.250 0.250 0.250 (multiplicity 4)
W1 0.000 0.000 0.500 (multiplicity 4)
W2 0.250 0.250 0.750 (multiplicity 4)

***

HgPbW2: optimized geometry, PBE.

a = 5.793 Å, b = 9.298 Å, c = 2.891 Å
α = 90.00°, β = 90.00°, γ = 90.00°
Space group Cmmm (No. 65)
Inequivalent atoms, fractional coordinates:
Hg1 0.000 0.000 0.000 (multiplicity 2)
Pb1 0.000 0.500 0.000 (multiplicity 2)
W1 0.250 0.250 0.500 (multiplicity 4)

***

HgPbW2: optimized geometry, PBE.

a = 3.045 Å, b = 4.907 Å, c = 11.916 Å
α = 90.00°, β = 90.00°, γ = 90.00°
Space group Imm2 (No. 44)
Inequivalent atoms, fractional coordinates:
Hg1 0.000 0.000 0.000 (multiplicity 2)
Pb1 0.000 0.500 0.784 (multiplicity 2)
W1 0.000 0.000 0.528 (multiplicity 2)
W2 0.000 0.500 0.190 (multiplicity 2)

***

Hg2PbW: optimized geometry, PBE.

a = 15.014 Å, b = 2.906 Å, c = 4.970 Å
α = 90.00°, β = 109.29°, γ = 90.00°
Space group Cm (No. 8)
Inequivalent atoms, fractional coordinates:
Hg1 0.000 0.000 0.000 (multiplicity 2)
Hg2 0.173 0.000 0.674 (multiplicity 2)
Pb1 0.362 0.000 0.362 (multiplicity 2)
W1 0.178 0.500 0.179 (multiplicity 2)

***

HgPbW: optimized geometry, PBE.

a = 3.016 Å, b = 3.016 Å, c = 15.272 Å
α = 90.00°, β = 90.00°, γ = 90.00°
Space group I4mm (No. 107)
Inequivalent atoms, fractional coordinates:
Hg1 0.000 0.000 0.000 (multiplicity 2)
Pb1 0.000 0.000 0.714 (multiplicity 2)
W1 0.000 0.000 0.366 (multiplicity 2)

***

HgPbW2: optimized geometry, PBE.

a = 5.885 Å, b = 10.055 Å, c = 3.113 Å
α = 90.00°, β = 121.27°, γ = 90.00°
Space group C2/m (No. 12)
Inequivalent atoms, fractional coordinates:
Hg1 0.000 0.000 0.000 (multiplicity 2)
Pb1 0.000 0.500 0.000 (multiplicity 2)
W1 0.250 0.250 0.000 (multiplicity 4)

***

Hg2PbW: optimized geometry, PBE.

a = 15.090 Å, b = 2.976 Å, c = 4.950 Å
α = 90.00°, β = 90.05°, γ = 90.00°
Space group C2/m (No. 12)
Inequivalent atoms, fractional coordinates:
Hg1 0.166 0.000 0.000 (multiplicity 4)
Pb1 0.000 0.000 0.500 (multiplicity 2)
W1 0.000 0.500 0.000 (multiplicity 2)

***

HgPb3W: optimized geometry, PBE.

a = 5.441 Å, b = 5.441 Å, c = 5.441 Å
α = 90.00°, β = 90.00°, γ = 90.00°
Space group Pm-3m (No. 221)
Inequivalent atoms, fractional coordinates:
Hg1 0.000 0.000 0.000 (multiplicity 1)
Pb1 0.000 0.500 0.500 (multiplicity 3)
W1 0.500 0.500 0.500 (multiplicity 1)

***

Hg2PbW: optimized geometry, PBE.

a = 3.018 Å, b = 5.310 Å, c = 5.512 Å
α = 90.00°, β = 90.00°, γ = 90.00°
Space group Pmmm (No. 47)
Inequivalent atoms, fractional coordinates:
Hg1 0.000 0.000 0.000 (multiplicity 1)
Hg2 0.500 0.500 0.000 (multiplicity 1)
Pb1 0.000 0.500 0.500 (multiplicity 1)
W1 0.500 0.000 0.500 (multiplicity 1)

***

HgPbW2: optimized geometry, PBE.

a = 6.701 Å, b = 6.701 Å, c = 6.701 Å
α = 90.00°, β = 90.00°, γ = 90.00°
Space group Fm-3m (No. 225)
Inequivalent atoms, fractional coordinates:
Hg1 0.000 0.000 0.000 (multiplicity 4)
Pb1 0.000 0.000 0.500 (multiplicity 4)
W1 0.250 0.250 0.250 (multiplicity 8)

***

Respective DFT formation energy values: 0.861, 1.600, 1.223, 1.242, 0.890, 0.682, 0.907, 1.067, 0.668, 0.494, 0.851, 1.276 eV/atom.
Respective electronic total energy values: -4.793, -5.879, -6.256, -6.237, -6.589, -3.634, -4.747, -6.412, -3.648, -4.382, -3.465, -6.203 eV per atom.